# LaDy9Sc2 | Alexandria | PBE | relaxed
# Electronic total energy in eV per atom: -4.873
data_LaDy9Sc2
_symmetry_space_group_name_H-M 'P 4/m m m'
_symmetry_Int_Tables_number 123
_symmetry_space_group_name_Hall '-P 4 2'
_cell_length_a 4.972
_cell_length_b 4.972
_cell_length_c 14.917
_cell_angle_alpha 90.00
_cell_angle_beta 90.00
_cell_angle_gamma 90.00
loop_
_atom_site_label
_atom_site_fract_x
_atom_site_fract_y
_atom_site_fract_z
La1 0.000 0.000 0.000
Dy1 0.000 0.500 0.175
Dy2 0.000 0.500 0.500
Dy3 0.500 0.500 0.000
Dy4 0.500 0.500 0.339
Sc1 0.000 0.000 0.337